Run A
BaZrZn2 | PBE | relaxed

* magnetic moment: 0.200 μB per atom
* symmetry: Fm-3m

Unit cell a=5.2321 b=5.2321 c=5.2321 alpha=60.00 beta=60.00 gamma=60.00
Last column: nearest neighbours and their distance in Å.
Sites, in units of the cell vectors:
Ba (0.0000, 0.0000, 0.0000)  8 Zn 3.20
Zr (0.5000, 0.5000, 0.5000)  8 Zn 3.20
Zn (0.2500, 0.2500, 0.2500)  4 Ba 3.20, 4 Zr 3.20
Zn (0.7500, 0.7500, 0.7500)  4 Ba 3.20, 4 Zr 3.20

Run B
BaZrZn2 | PBE | relaxed

* magnetic moment: 0.000 μB per atom
* symmetry: Imm2

Unit cell a=6.1869 b=6.1869 c=6.1869 alpha=148.64 beta=128.71 gamma=61.36
Last column: nearest neighbours and their distance in Å.
Sites, in units of the cell vectors:
Ba (0.0000, 0.0000, 0.0000)  6 Zn 3.18-3.34, 2 Ba 3.34, 4 Zr 3.45-3.56
Zr (0.7051, 0.2051, 0.5000)  6 Zn 3.08-3.23, 2 Zr 3.34
Zn (0.2714, 0.7714, 0.5000)  2 Zn 2.63
Zn (0.4617, 0.4617, 0.0000)  2 Zn 2.63

Run C
BaZrZn2 | PBE | relaxed

* magnetic moment: 0.000 μB per atom
* symmetry: C2/m

Unit cell a=4.6474 b=4.6474 c=6.7362 alpha=110.27 beta=110.27 gamma=60.11
Last column: nearest neighbours and their distance in Å.
Sites, in units of the cell vectors:
Ba (0.0000, 0.0000, 0.0000)  8 Zn 3.67-3.68, 6 Zr 4.08-4.09
Zr (0.5000, 0.5000, 0.5000)  6 Zn 2.75
Zn (0.1984, 0.1984, 0.5957)  3 Zr 2.75, 3 Zn 2.93-2.94
Zn (0.8016, 0.8016, 0.4043)  3 Zr 2.75, 3 Zn 2.93-2.94

What should be chosen as the most stable of them? Choose run C.

Run A
Ba2Zr2Zn | PBE | relaxed

* magnetic moment: 0.138 μB per atom
* symmetry: I4/mmm

Unit cell a=6.2209 b=6.2209 c=6.2209 alpha=114.79 beta=114.79 gamma=99.29
Last column: nearest neighbours and their distance in Å.
Sites, in units of the cell vectors:
Ba (0.2500, 0.7500, 0.5000)  4 Zr 3.46
Ba (0.7500, 0.2500, 0.5000)  4 Zr 3.46
Zr (0.1460, 0.1460, 0.0000)  1 Zr 2.35
Zr (0.8540, 0.8540, 0.0000)  1 Zr 2.35
Zn (0.5000, 0.5000, 0.0000)  2 Zr 2.85

Run B
Ba2Zr2Zn | PBE | relaxed

* magnetic moment: 0.000 μB per atom
* symmetry: P4/mbm

Unit cell a=9.6938 b=9.6938 c=3.5807 alpha=90.00 beta=90.00 gamma=90.00
Last column: nearest neighbours and their distance in Å.
Sites, in units of the cell vectors:
Ba (0.1990, 0.3010, 0.0000)  6 Zr 3.28-3.54, 2 Ba 3.58
Ba (0.3010, 0.8010, 0.0000)  6 Zr 3.28-3.54, 2 Ba 3.58
Ba (0.6990, 0.1990, 0.0000)  6 Zr 3.28-3.54, 2 Ba 3.58
Ba (0.8010, 0.6990, 0.0000)  6 Zr 3.28-3.54, 2 Ba 3.58
Zr (0.1008, 0.6008, 0.5000)  1 Zr 2.76
Zr (0.3992, 0.1008, 0.5000)  1 Zr 2.76
Zr (0.6008, 0.8992, 0.5000)  1 Zr 2.76
Zr (0.8992, 0.3992, 0.5000)  1 Zr 2.76
Zn (0.0000, 0.0000, 0.5000)  2 Zn 3.58, 8 Ba 3.93, 4 Zr 3.99
Zn (0.5000, 0.5000, 0.5000)  2 Zn 3.58, 8 Ba 3.93, 4 Zr 3.99

Run C
Ba2Zr2Zn | PBE | relaxed

* magnetic moment: 0.000 μB per atom
* symmetry: I4/mmm

Unit cell a=8.8676 b=8.8676 c=8.8676 alpha=150.75 beta=150.75 gamma=41.85
Last column: nearest neighbours and their distance in Å.
Sites, in units of the cell vectors:
Ba (0.2500, 0.7500, 0.5000)  4 Ba 3.17
Ba (0.7500, 0.2500, 0.5000)  4 Ba 3.17
Zr (0.0725, 0.0725, 0.0000)  1 Zr 2.40
Zr (0.9275, 0.9275, 0.0000)  1 Zr 2.40
Zn (0.5000, 0.5000, 0.0000)  8 Zr 3.39

What should be chosen as the most stable of them? Choose run B.

Run A
BaZr3Zn | PBE | relaxed

* magnetic moment: 0.275 μB per atom
* symmetry: Pm-3m

Unit cell a=5.2806 b=5.2806 c=5.2806 alpha=90.00 beta=90.00 gamma=90.00
Last column: nearest neighbours and their distance in Å.
Sites, in units of the cell vectors:
Ba (0.0000, 0.0000, 0.0000)  6 Zr 2.64
Zr (0.0000, 0.0000, 0.5000)  2 Ba 2.64
Zr (0.0000, 0.5000, 0.0000)  2 Ba 2.64
Zr (0.5000, 0.0000, 0.0000)  2 Ba 2.64
Zn (0.5000, 0.5000, 0.5000)  12 Zr 3.73

Run B
BaZr3Zn | PBE | relaxed

* magnetic moment: 0.000 μB per atom
* symmetry: Pm-3m

Unit cell a=5.2252 b=5.2252 c=5.2252 alpha=90.00 beta=90.00 gamma=90.00
Last column: nearest neighbours and their distance in Å.
Sites, in units of the cell vectors:
Ba (0.0000, 0.0000, 0.0000)  12 Zr 3.69
Zr (0.0000, 0.5000, 0.5000)  2 Zn 2.61
Zr (0.5000, 0.0000, 0.5000)  2 Zn 2.61
Zr (0.5000, 0.5000, 0.0000)  2 Zn 2.61
Zn (0.5000, 0.5000, 0.5000)  6 Zr 2.61

What should be chosen as the most stable of them? Choose run B.

Run A
BaZrZn3 | PBE | relaxed

* magnetic moment: 0.001 μB per atom
* symmetry: Pm-3m

Unit cell a=5.4211 b=5.4211 c=5.4211 alpha=90.00 beta=90.00 gamma=90.00
Last column: nearest neighbours and their distance in Å.
Sites, in units of the cell vectors:
Ba (0.0000, 0.0000, 0.0000)  6 Zn 2.71
Zr (0.5000, 0.5000, 0.5000)  12 Zn 3.83
Zn (0.0000, 0.0000, 0.5000)  2 Ba 2.71
Zn (0.0000, 0.5000, 0.0000)  2 Ba 2.71
Zn (0.5000, 0.0000, 0.0000)  2 Ba 2.71

Run B
BaZrZn3 | PBE | relaxed

* magnetic moment: 0.232 μB per atom
* symmetry: Pm-3m

Unit cell a=5.3228 b=5.3228 c=5.3228 alpha=90.00 beta=90.00 gamma=90.00
Last column: nearest neighbours and their distance in Å.
Sites, in units of the cell vectors:
Ba (0.0000, 0.0000, 0.0000)  12 Zn 3.76
Zr (0.5000, 0.5000, 0.5000)  6 Zn 2.66
Zn (0.0000, 0.5000, 0.5000)  2 Zr 2.66
Zn (0.5000, 0.0000, 0.5000)  2 Zr 2.66
Zn (0.5000, 0.5000, 0.0000)  2 Zr 2.66

What should be chosen as the most stable of them? Choose run B.

Run A
Ba2Zr | PBE | relaxed

* magnetic moment: 0.006 μB per atom
* symmetry: Pa-3

Unit cell a=8.1909 b=8.1909 c=8.1909 alpha=90.00 beta=90.00 gamma=90.00
Last column: nearest neighbours and their distance in Å.
Sites, in units of the cell vectors:
Ba (0.1560, 0.1560, 0.1560)  3 Zr 3.35
Ba (0.1560, 0.3440, 0.6560)  3 Zr 3.35
Ba (0.3440, 0.6560, 0.1560)  3 Zr 3.35
Ba (0.3440, 0.8440, 0.6560)  3 Zr 3.35
Ba (0.6560, 0.1560, 0.3440)  3 Zr 3.35
Ba (0.6560, 0.3440, 0.8440)  3 Zr 3.35
Ba (0.8440, 0.6560, 0.3440)  3 Zr 3.35
Ba (0.8440, 0.8440, 0.8440)  3 Zr 3.35
Zr (0.0000, 0.0000, 0.5000)  6 Ba 3.35
Zr (0.0000, 0.5000, 0.0000)  6 Ba 3.35
Zr (0.5000, 0.0000, 0.0000)  6 Ba 3.35
Zr (0.5000, 0.5000, 0.5000)  6 Ba 3.35

Run B
Ba2Zr | PBE | relaxed

* magnetic moment: 0.216 μB per atom
* symmetry: Cm

Unit cell a=7.1349 b=7.1349 c=10.4320 alpha=100.79 beta=100.79 gamma=31.31
Last column: nearest neighbours and their distance in Å.
Sites, in units of the cell vectors:
Ba (0.0000, 0.0000, 0.0000)  2 Zr 3.75, 4 Ba 3.85-4.19
Ba (0.0596, 0.0596, 0.4441)  5 Zr 3.72-3.86, 2 Ba 3.85
Ba (0.2898, 0.2898, 0.2208)  2 Zr 3.67, 2 Ba 3.85
Ba (0.7172, 0.7172, 0.8086)  1 Zr 3.43
Zr (0.4334, 0.4334, 0.6871)  2 Zr 2.91
Zr (0.8074, 0.8074, 0.5240)  2 Zr 2.91

What should be chosen as the most stable of them? Choose run B.

Run A
Ba2Zr | PBE | relaxed

* magnetic moment: 0.001 μB per atom
* symmetry: P4/mmm

Unit cell a=6.1715 b=6.1715 c=3.6559 alpha=90.00 beta=90.00 gamma=90.00
Last column: nearest neighbours and their distance in Å.
Sites, in units of the cell vectors:
Ba (0.0000, 0.5000, 0.0000)  4 Zr 3.59, 2 Ba 3.66
Ba (0.5000, 0.0000, 0.0000)  4 Zr 3.59, 2 Ba 3.66
Zr (0.0000, 0.0000, 0.5000)  8 Ba 3.59, 2 Zr 3.66

Run B
Ba2Zr | PBE | relaxed

* magnetic moment: 0.700 μB per atom
* symmetry: P6_3/mmc

Unit cell a=6.2036 b=6.2036 c=7.7340 alpha=90.00 beta=90.00 gamma=120.00
Last column: nearest neighbours and their distance in Å.
Sites, in units of the cell vectors:
Ba (0.0000, 0.0000, 0.0000)  8 Ba 3.87-4.07, 6 Zr 4.07
Ba (0.0000, 0.0000, 0.5000)  8 Ba 3.87-4.07, 6 Zr 4.07
Ba (0.3333, 0.6667, 0.2500)  5 Zr 3.58-3.87
Ba (0.6667, 0.3333, 0.7500)  5 Zr 3.58-3.87
Zr (0.3333, 0.6667, 0.7500)  5 Ba 3.58-3.87
Zr (0.6667, 0.3333, 0.2500)  5 Ba 3.58-3.87

Run C
Ba2Zr | PBE | relaxed

* magnetic moment: 0.000 μB per atom
* symmetry: I4/mcm

Unit cell a=7.3538 b=7.3538 c=7.3538 alpha=98.77 beta=98.77 gamma=134.02
Last column: nearest neighbours and their distance in Å.
Sites, in units of the cell vectors:
Ba (0.1597, 0.6597, 0.8194)  6 Ba 3.77-4.20, 4 Zr 3.87
Ba (0.3403, 0.1597, 0.5000)  6 Ba 3.77-4.20, 4 Zr 3.87
Ba (0.6597, 0.8403, 0.5000)  6 Ba 3.77-4.20, 4 Zr 3.87
Ba (0.8403, 0.3403, 0.1806)  6 Ba 3.77-4.20, 4 Zr 3.87
Zr (0.2500, 0.2500, 0.0000)  2 Zr 2.87
Zr (0.7500, 0.7500, 0.0000)  2 Zr 2.87

Run D
Ba2Zr | PBE | relaxed

* magnetic moment: 0.001 μB per atom
* symmetry: I4/mmm

Unit cell a=9.0931 b=9.0931 c=9.0931 alpha=155.95 beta=155.95 gamma=34.28
Last column: nearest neighbours and their distance in Å.
Sites, in units of the cell vectors:
Ba (0.1453, 0.1453, 0.0000)  4 Zr 3.68, 4 Ba 3.79
Ba (0.8547, 0.8547, 0.0000)  4 Zr 3.68, 4 Ba 3.79
Zr (0.5000, 0.5000, 0.0000)  8 Ba 3.68, 4 Zr 3.79

What should be chosen as the most stable of them? Choose run C.